Entry one
DFT (GGA-PBE) results for CdGeTeO after structural relaxation.

Cell: 8.1904 8.7091 10.3673 Å, 90.00 90.00 90.00°
Element x y z (fractional)
Te1 0.2530 0.9990 0.0135
Te2 0.7470 0.0010 0.9865
Te3 0.2470 0.0010 0.5135
Te4 0.7530 0.9990 0.4865
Te5 0.2470 0.4990 0.0135
Te6 0.2530 0.5010 0.5135
Te7 0.7530 0.5010 0.9865
Te8 0.7470 0.4990 0.4865
Cd1 0.2199 0.1560 0.2627
Cd2 0.2199 0.3440 0.7627
Cd3 0.7199 0.3440 0.7373
Cd4 0.2801 0.6560 0.2627
Cd5 0.7199 0.1560 0.2373
Cd6 0.7801 0.6560 0.2373
Cd7 0.2801 0.8440 0.7627
Cd8 0.7801 0.8440 0.7373
Ge1 0.4915 0.2535 0.4779
Ge2 0.5085 0.7535 0.0221
Ge3 0.9915 0.2465 0.5221
Ge4 0.0085 0.7535 0.4779
Ge5 0.4915 0.2465 0.9779
Ge6 0.0085 0.7465 0.9779
Ge7 0.9915 0.2535 0.0221
Ge8 0.5085 0.7465 0.5221
O1 0.9755 0.2402 0.2008
O2 0.5245 0.7402 0.2008
O3 0.5245 0.7598 0.7008
O4 0.0245 0.7402 0.2992
O5 0.0245 0.7598 0.7992
O6 0.9755 0.2598 0.7008
O7 0.4755 0.2402 0.2992
O8 0.4755 0.2598 0.7992

Entry two
DFT (GGA-PBE) results for CdGeTeO after structural relaxation.

Cell: 3.6612 3.6612 11.5804 Å, 90.00 90.00 90.00°
Element x y z (fractional)
Cd1 0.2500 0.2500 0.6069
Cd2 0.7500 0.7500 0.3931
Ge1 0.2500 0.7500 0.0000
Ge2 0.7500 0.2500 0.0000
O1 0.7500 0.7500 0.5870
O2 0.2500 0.2500 0.4130
Te1 0.2500 0.2500 0.2176
Te2 0.7500 0.7500 0.7824

What are the relative energies? In meV/atom: entry one 0; entry two 363.

Entry one
DFT (GGA-PBE) results for PaSiSb after structural relaxation.

Cell: 4.9031 4.9031 4.9031 Å, 60.00 60.00 60.00°
Element x y z (fractional)
Si1 0.7500 0.7500 0.7500
Sb1 0.2500 0.2500 0.2500
Pa1 0.0000 0.0000 0.0000

Entry two
DFT (GGA-PBE) results for PaSiSb after structural relaxation.

Cell: 4.7141 4.7141 4.7141 Å, 60.00 60.00 60.00°
Element x y z (fractional)
Sb1 0.7500 0.7500 0.7500
Pa1 0.2500 0.2500 0.2500
Si1 0.0000 0.0000 0.0000

What are the relative energies? In meV/atom: entry one 94; entry two 0.

Entry one
DFT (GGA-PBE) results for LaPr after structural relaxation.

Cell: 4.7029 4.7029 4.7029 Å, 60.00 60.00 60.00°
Element x y z (fractional)
La1 0.0000 0.0000 0.0000
Pr1 0.2500 0.2500 0.2500

Entry two
DFT (GGA-PBE) results for LaPr after structural relaxation.

Cell: 6.6181 6.6181 6.6987 Å, 90.00 90.00 86.39°
Element x y z (fractional)
La1 0.5049 0.8656 0.2500
La2 0.8656 0.5049 0.7500
La3 0.1344 0.4951 0.2500
La4 0.4951 0.1344 0.7500
Pr1 0.0000 0.0000 0.0000
Pr2 0.0000 0.0000 0.5000
Pr3 0.6457 0.3543 0.2500
Pr4 0.3543 0.6457 0.7500

What are the relative energies? In meV/atom: entry one 1069; entry two 0.

Entry one
DFT (GGA-PBE) results for TaB4W after structural relaxation.

Cell: 3.0772 3.0772 6.6074 Å, 90.00 90.00 120.00°
Element x y z (fractional)
B1 0.6667 0.3333 0.2513
B2 0.3333 0.6667 0.7487
B3 0.6667 0.3333 0.7487
B4 0.3333 0.6667 0.2513
W1 0.0000 0.0000 0.5000
Ta1 0.0000 0.0000 0.0000

Entry two
DFT (GGA-PBE) results for TaB4W after structural relaxation.

Cell: 4.5145 4.5145 4.5145 Å, 140.19 107.69 85.87°
Element x y z (fractional)
B1 0.0818 0.7491 0.3326
B2 0.4165 0.7491 0.6674
B3 0.5835 0.2509 0.3326
B4 0.9182 0.2509 0.6674
W1 0.5000 0.5000 0.0000
Ta1 0.0000 0.0000 0.0000

What are the relative energies? In meV/atom: entry one 6; entry two 0.

Entry one
DFT (GGA-PBE) results for KAgAsAu after structural relaxation.

Cell: 5.0168 5.0168 5.0168 Å, 60.00 60.00 60.00°
Element x y z (fractional)
As1 0.2500 0.2500 0.2500
Au1 0.7500 0.7500 0.7500
K1 0.5000 0.5000 0.5000
Ag1 0.0000 0.0000 0.0000

Entry two
DFT (GGA-PBE) results for KAgAsAu after structural relaxation.

Cell: 4.9776 4.9776 4.9776 Å, 60.00 60.00 60.00°
Element x y z (fractional)
Au1 0.7500 0.7500 0.7500
As1 0.0000 0.0000 0.0000
K1 0.2500 0.2500 0.2500
Ag1 0.5000 0.5000 0.5000

What are the relative energies? In meV/atom: entry one 61; entry two 0.

Entry one
DFT (GGA-PBE) results for ErReNO after structural relaxation.

Cell: 3.2219 6.2332 5.5745 Å, 90.00 90.00 90.00°
Element x y z (fractional)
N1 0.0000 0.8390 0.4102
N2 0.0000 0.3390 0.5898
Re1 0.0000 0.0527 0.6716
Re2 0.0000 0.5527 0.3284
O1 0.5000 0.3555 0.1842
O2 0.5000 0.8555 0.8158
Er1 0.5000 0.5067 0.8306
Er2 0.5000 0.0067 0.1694

Entry two
DFT (GGA-PBE) results for ErReNO after structural relaxation.

Cell: 4.8023 4.8023 4.2593 Å, 90.00 90.00 90.00°
Element x y z (fractional)
Er1 0.7500 0.2500 0.5000
Er2 0.2500 0.7500 0.5000
O1 0.7500 0.2500 0.0000
O2 0.2500 0.7500 0.0000
Re1 0.7500 0.7500 0.9991
Re2 0.2500 0.2500 0.0009
N1 0.2500 0.2500 0.5012
N2 0.7500 0.7500 0.4988

What are the relative energies? In meV/atom: entry one 0; entry two 235.

Entry one
DFT (GGA-PBE) results for Cu4Ag after structural relaxation.

Cell: 4.5599 2.6840 10.7859 Å, 90.00 97.27 90.00°
Element x y z (fractional)
Cu1 0.0569 0.2500 0.4045
Cu2 0.1518 0.7500 0.2042
Cu3 0.7615 0.7500 0.9945
Cu4 0.8482 0.2500 0.7958
Cu5 0.2385 0.2500 0.0055
Cu6 0.4524 0.2500 0.5933
Cu7 0.9431 0.7500 0.5955
Cu8 0.5476 0.7500 0.4067
Ag1 0.3476 0.7500 0.7993
Ag2 0.6524 0.2500 0.2007

Entry two
DFT (GGA-PBE) results for Cu4Ag after structural relaxation.

Cell: 4.5689 4.5689 8.3646 Å, 90.09 90.09 48.21°
Element x y z (fractional)
Cu1 0.2001 0.2001 0.9093
Cu2 0.0000 0.0000 0.5000
Cu3 0.9075 0.9075 0.8123
Cu4 0.3983 0.3983 0.2830
Cu5 0.7999 0.7999 0.0907
Cu6 0.0925 0.0925 0.1877
Cu7 0.5000 0.5000 0.0000
Cu8 0.6017 0.6017 0.7170
Ag1 0.6955 0.6955 0.3899
Ag2 0.3045 0.3045 0.6101

What are the relative energies? In meV/atom: entry one 15; entry two 0.

Entry one
DFT (GGA-PBE) results for NdAgNO after structural relaxation.

Cell: 3.9359 3.9359 7.9232 Å, 90.00 90.00 90.00°
Each line ends with the local moment (μB).
Element x y z (fractional)
N1 0.5000 0.0000 0.3330  0.57
N2 0.0000 0.5000 0.6670  0.57
Nd1 0.5000 0.0000 0.8464  -0.01
Nd2 0.0000 0.5000 0.1536  -0.01
O1 0.0000 0.0000 0.0000  0.03
O2 0.5000 0.5000 0.0000  0.03
Ag1 0.0000 0.0000 0.5000  0.18
Ag2 0.5000 0.5000 0.5000  0.18

Entry two
DFT (GGA-PBE) results for NdAgNO after structural relaxation.

Cell: 4.0045 5.2765 6.2212 Å, 90.00 90.00 90.00°
Element x y z (fractional)
O1 0.5000 0.3923 0.1302
O2 0.5000 0.8923 0.8698
Ag1 0.5000 0.4576 0.7607
Ag2 0.5000 0.9576 0.2393
Nd1 0.0000 0.4619 0.2836
Nd2 0.0000 0.9619 0.7164
N1 0.0000 0.4421 0.6641
N2 0.0000 0.9421 0.3359

What are the relative energies? In meV/atom: entry one 0; entry two 64.

Entry one
DFT (GGA-PBE) results for HoOsNO after structural relaxation.

Cell: 4.7918 4.7918 4.2761 Å, 90.00 90.00 90.00°
Element x y z (fractional)
Os1 0.2500 0.2500 0.0040
Os2 0.7500 0.7500 0.9960
N1 0.7500 0.7500 0.4962
N2 0.2500 0.2500 0.5038
O1 0.7500 0.2500 0.0000
O2 0.2500 0.7500 0.0000
Ho1 0.2500 0.7500 0.5000
Ho2 0.7500 0.2500 0.5000

Entry two
DFT (GGA-PBE) results for HoOsNO after structural relaxation.

Cell: 3.7819 4.9372 5.5283 Å, 90.00 90.00 90.00°
Element x y z (fractional)
Ho1 0.0000 0.9902 0.7739
Ho2 0.0000 0.4902 0.2261
O1 0.5000 0.2889 0.0719
O2 0.5000 0.7889 0.9281
N1 0.0000 0.4838 0.6700
N2 0.0000 0.9838 0.3300
Os1 0.5000 0.9911 0.3435
Os2 0.5000 0.4911 0.6565

What are the relative energies? In meV/atom: entry one 522; entry two 0.

Entry one
DFT (GGA-PBE) results for NbPdPt after structural relaxation.

Cell: 4.3324 4.3324 4.3324 Å, 60.00 60.00 60.00°
Element x y z (fractional)
Pd1 0.2500 0.2500 0.2500
Pt1 0.7500 0.7500 0.7500
Nb1 0.0000 0.0000 0.0000

Entry two
DFT (GGA-PBE) results for NbPdPt after structural relaxation.

Cell: 2.8354 3.9807 8.4983 Å, 90.00 90.00 90.00°
Element x y z (fractional)
Pd1 0.0000 0.0000 0.6636
Pd2 0.0000 0.0000 0.3364
Nb1 0.5000 0.5000 0.5000
Nb2 0.0000 0.0000 0.0000
Pt1 0.5000 0.5000 0.8326
Pt2 0.5000 0.5000 0.1674

What are the relative energies? In meV/atom: entry one 508; entry two 0.

Entry one
DFT (GGA-PBE) results for NdU after structural relaxation.

Cell: 4.4207 4.4207 4.4207 Å, 60.00 60.00 60.00°
Each line ends with the local moment (μB).
Element x y z (fractional)
U1 0.2500 0.2500 0.2500  -0.43
Nd1 0.0000 0.0000 0.0000  -0.07

Entry two
DFT (GGA-PBE) results for NdU after structural relaxation.

Cell: 4.2272 4.2272 4.2272 Å, 60.00 60.00 60.00°
Each line ends with the local moment (μB).
Element x y z (fractional)
Nd1 0.0000 0.0000 0.0000  0.08
U1 0.5000 0.5000 0.5000  1.35

What are the relative energies? In meV/atom: entry one 728; entry two 0.

Entry one
DFT (GGA-PBE) results for NbGaAsO after structural relaxation.

Cell: 3.3106 7.4452 5.8472 Å, 90.00 90.00 90.00°
Element x y z (fractional)
As1 0.0000 0.7055 0.3530
As2 0.0000 0.2945 0.8530
Ga1 0.0000 0.1161 0.4359
Ga2 0.0000 0.8839 0.9359
O1 0.5000 0.7057 0.8611
O2 0.5000 0.2943 0.3611
Nb1 0.5000 0.4933 0.1041
Nb2 0.5000 0.5067 0.6041

Entry two
DFT (GGA-PBE) results for NbGaAsO after structural relaxation.

Cell: 3.8790 7.7631 5.0622 Å, 90.00 90.00 90.00°
Element x y z (fractional)
Ga1 0.5000 0.0634 0.4581
Ga2 0.5000 0.9366 0.9581
O1 0.5000 0.3560 0.9344
O2 0.5000 0.6440 0.4344
Nb1 0.0000 0.6168 0.4309
Nb2 0.0000 0.3832 0.9309
As1 0.0000 0.2798 0.4306
As2 0.0000 0.7202 0.9306

What are the relative energies? In meV/atom: entry one 23; entry two 0.